## FeSiIO2 (PBE+U)

Data for a geometry-optimized FeSiIO2 structure.

Values from the calculation:
ΔE to the lowest computed polymorph, meV per atom: 0

Cell lengths 3.6227, 3.6227, 6.1944 Å; angles 90.00, 90.00, 90.00 degrees
Space group P4/mmm (No. 123)
Symmetry-distinct sites (fractional):
Fe (0.0000, 0.0000, 0.0000) (multiplicity 1)
Si (0.5000, 0.5000, 0.5000) (multiplicity 1)
I (0.5000, 0.5000, 0.0000) (multiplicity 1)
O (0.0000, 0.5000, 0.5000) (multiplicity 2)